# YBr4Cl (GGA-PBEsol, optimized geometry)
# E, eV/atom: -3.0641
# Magnetization, μB/f.u.: 0.0
# Volume, A^3/atom: 24.83
data_YBr4Cl
_chemical_formula_sum 'Y4 Br16 Cl4'
_cell_length_a 8.4157
_cell_length_b 8.4157
_cell_length_c 8.4157
_cell_angle_alpha 90.00
_cell_angle_beta 90.00
_cell_angle_gamma 90.00
_space_group_name_H-M_alt 'F -4 3 m'
_space_group_IT_number 216
_space_group_name_Hall 'F -4 2 3'
loop_
_atom_site_label
_atom_site_type_symbol
_atom_site_fract_x
_atom_site_fract_y
_atom_site_fract_z
Y1 Y 0.0000 0.0000 0.0000
Br1 Br 0.1252 0.1252 0.3748
Cl1 Cl 0.2500 0.2500 0.7500

# YBrCl2 (GGA-PBEsol, optimized geometry)
# E, eV/atom: -4.8070
# Magnetization, μB/f.u.: 0.0
# Energy above the most stable polymorph in this dataset, meV per atom: 462
# Volume, A^3/atom: 21.01
data_YBrCl2
_chemical_formula_sum 'Y2 Br2 Cl4'
_cell_length_a 4.5928
_cell_length_b 4.5928
_cell_length_c 7.9688
_cell_angle_alpha 90.00
_cell_angle_beta 90.00
_cell_angle_gamma 90.00
_space_group_name_H-M_alt 'I -4 m 2'
_space_group_IT_number 119
_space_group_name_Hall 'I -4 -2'
loop_
_atom_site_label
_atom_site_type_symbol
_atom_site_fract_x
_atom_site_fract_y
_atom_site_fract_z
Y1 Y 0.0000 0.0000 0.0000
Br1 Br 0.0000 0.5000 0.2500
Cl1 Cl 0.0000 0.0000 0.5000
Cl2 Cl 0.0000 0.5000 0.7500

# YBrCl2 (GGA-PBEsol, optimized geometry)
# E, eV/atom: -5.2674
# Magnetization, μB/f.u.: 0.0
# Energy above the most stable polymorph in this dataset, meV per atom: 2
# Volume, A^3/atom: 28.83
data_YBrCl2
_chemical_formula_sum 'Y2 Br2 Cl4'
_cell_length_a 10.9109
_cell_length_b 3.6624
_cell_length_c 6.5346
_cell_angle_alpha 90.00
_cell_angle_beta 117.95
_cell_angle_gamma 90.00
_space_group_name_H-M_alt 'C 1 m 1'
_space_group_IT_number 8
loop_
_space_group_symop_operation_xyz
'x,y,z'
'x,-y,z'
'x+1/2,y+1/2,z'
'x+1/2,-y+1/2,z'
loop_
_atom_site_label
_atom_site_type_symbol
_atom_site_fract_x
_atom_site_fract_y
_atom_site_fract_z
Y1 Y 0.0000 0.0000 0.0000
Br1 Br 0.2993 0.0000 0.9983
Cl1 Cl 0.1522 0.5000 0.3040
Cl2 Cl 0.4846 0.0000 0.6995

- Among the records above, which one has the lowest E?
  number 3

- What is the magnetization in the second record?
  0.0 μB/f.u.

- Among the records above, which one has the highest volume?
  number 3